Record 1
Below is a geometry-optimized MgRe2Tc structure, with properties calculated at the GGA-PBE level.

a = 3.0720 Å, b = 4.3878 Å, c = 4.4821 Å
α = 90.00°, β = 90.00°, γ = 90.00°
Last column: nearest neighbours and their distance in Å.
Space group Pmmm (No. 47)
Asymmetric unit:
Mg 0.0000 0.0000 0.0000  4 Tc 2.68, 4 Re 2.72
Re 0.0000 0.5000 0.5000  4 Re 2.68, 4 Tc 2.72
Re 0.5000 0.0000 0.5000  4 Re 2.68, 4 Mg 2.72
Tc 0.5000 0.5000 0.0000  4 Mg 2.68, 4 Re 2.72

Results
As for the energy of formation from the pure elements: 28 kJ/mol of atoms. For the total energy, the calculation gives -8.9197 eV/atom. Its magnetic moment is 0.00 Bohr magnetons per cell.

Record 2
Below is a geometry-optimized MgRe4Tc structure, with properties calculated at the GGA-PBE level.

a = 7.3148 Å, b = 7.3148 Å, c = 7.3148 Å
α = 90.00°, β = 90.00°, γ = 90.00°
Last column: nearest neighbours and their distance in Å.
Space group F-43m (No. 216)
Asymmetric unit:
Mg 0.0000 0.0000 0.0000  12 Re 3.03, 4 Tc 3.17
Re 0.1258 0.1258 0.3742  6 Re 2.57-2.60
Tc 0.2500 0.2500 0.7500  12 Re 3.03, 4 Mg 3.17

Results
As for the energy of formation from the pure elements: 31 kJ/mol of atoms. For the total energy, the calculation gives -9.9747 eV/atom. Its magnetic moment is 0.00 Bohr magnetons per cell.

Record 3
Below is a geometry-optimized MgRe2Tc structure, with properties calculated at the GGA-PBE level.

a = 2.9820 Å, b = 4.5147 Å, c = 9.2130 Å
α = 90.00°, β = 90.00°, γ = 90.00°
Last column: nearest neighbours and their distance in Å.
Space group Cmmm (No. 65)
Asymmetric unit:
Mg 0.0000 0.0000 0.0000  6 Mg 2.71-2.98, 4 Re 2.82
Re 0.0000 0.5000 0.2593  2 Tc 2.67, 6 Re 2.71-2.98, 2 Mg 2.82
Tc 0.0000 0.0000 0.5000  4 Re 2.67, 6 Tc 2.71-2.98

Results
As for the energy of formation from the pure elements: 26 kJ/mol of atoms. For the total energy, the calculation gives -8.9398 eV/atom. Its magnetic moment is 0.00 Bohr magnetons per cell.

Record 4
Below is a geometry-optimized MgReTc structure, with properties calculated at the GGA-PBE level.

a = 3.0675 Å, b = 3.0675 Å, c = 10.0137 Å
α = 90.00°, β = 90.00°, γ = 90.00°
Last column: nearest neighbours and their distance in Å.
Space group I4mm (No. 107)
Asymmetric unit:
Mg 0.0000 0.0000 0.0000  4 Tc 2.82, 4 Re 2.83, 4 Mg 3.07
Re 0.0000 0.0000 0.3177  4 Tc 2.57, 4 Mg 2.83
Tc 0.0000 0.0000 0.6804  4 Re 2.57, 4 Mg 2.82

Results
As for the energy of formation from the pure elements: 4 kJ/mol of atoms. For the total energy, the calculation gives -8.0921 eV/atom. Its magnetic moment is 0.00 Bohr magnetons per cell. The calculation puts the energy above the most stable polymorph in this dataset at 0.000 eV per atom.

Record 5
Below is a geometry-optimized MgRe2Tc structure, with properties calculated at the GGA-PBE level.

a = 3.8021 Å, b = 3.8021 Å, c = 4.2238 Å
α = 90.00°, β = 90.00°, γ = 90.00°
Last column: nearest neighbours and their distance in Å.
Space group P4/mmm (No. 123)
Asymmetric unit:
Mg 0.0000 0.0000 0.0000  4 Tc 2.69, 8 Re 2.84
Re 0.0000 0.5000 0.5000  4 Re 2.69, 4 Tc 2.84, 4 Mg 2.84
Tc 0.5000 0.5000 0.0000  4 Mg 2.69, 8 Re 2.84

Results
As for the energy of formation from the pure elements: 43 kJ/mol of atoms. For the total energy, the calculation gives -8.7641 eV/atom. Its magnetic moment is 0.00 Bohr magnetons per cell.

Record 6
Below is a geometry-optimized MgReTc structure, with properties calculated at the GGA-PBE level.

a = 2.9635 Å, b = 4.6112 Å, c = 13.8763 Å
α = 90.00°, β = 90.00°, γ = 90.00°
Last column: nearest neighbours and their distance in Å.
Space group Fmm2 (No. 42)
Asymmetric unit:
Mg 0.0000 0.0000 0.0000  6 Mg 2.74-2.96, 2 Tc 2.81, 2 Re 2.84
Re 0.0000 0.0000 0.6744  2 Tc 2.59, 4 Re 2.74, 2 Mg 2.84
Tc 0.0000 0.0000 0.3278  2 Re 2.59, 4 Tc 2.74, 2 Mg 2.81

Results
As for the energy of formation from the pure elements: 23 kJ/mol of atoms. For the total energy, the calculation gives -7.8949 eV/atom. Its magnetic moment is 0.00 Bohr magnetons per cell. The calculation puts the energy above the most stable polymorph in this dataset at 0.197 eV per atom.

Record 7
Below is a geometry-optimized MgRe2Tc structure, with properties calculated at the GGA-PBE level.

a = 2.6992 Å, b = 4.4201 Å, c = 5.1875 Å
α = 90.00°, β = 101.59°, γ = 90.00°
Last column: nearest neighbours and their distance in Å.
Space group P2/m (No. 10)
Asymmetric unit:
Mg 0.0000 0.0000 0.0000  2 Tc 2.67, 2 Mg 2.70, 4 Re 2.73
Re 0.2772 0.5000 0.7554  4 Re 2.58-2.77, 2 Tc 2.71, 2 Mg 2.73
Tc 0.5000 0.0000 0.5000  2 Mg 2.67, 2 Tc 2.70, 4 Re 2.71

Results
As for the energy of formation from the pure elements: 20 kJ/mol of atoms. For the total energy, the calculation gives -9.0048 eV/atom. Its magnetic moment is 0.00 Bohr magnetons per cell.

Record 8
Below is a geometry-optimized MgRe2Tc structure, with properties calculated at the GGA-PBE level.

a = 3.0925 Å, b = 4.3826 Å, c = 8.9247 Å
α = 90.00°, β = 90.00°, γ = 90.00°
Last column: nearest neighbours and their distance in Å.
Space group Immm (No. 71)
Asymmetric unit:
Mg 0.0000 0.0000 0.0000  4 Tc 2.68, 4 Re 2.79
Re 0.0000 0.5000 0.2398  2 Tc 2.64, 4 Re 2.69, 2 Mg 2.79
Tc 0.0000 0.0000 0.5000  4 Re 2.64, 4 Mg 2.68

Results
As for the energy of formation from the pure elements: 13 kJ/mol of atoms. For the total energy, the calculation gives -9.0755 eV/atom. Its magnetic moment is 0.00 Bohr magnetons per cell.

Record 9
Below is a geometry-optimized MgRe2Tc structure, with properties calculated at the GGA-PBE level.

a = 3.0841 Å, b = 3.0841 Å, c = 6.5053 Å
α = 90.00°, β = 90.00°, γ = 90.00°
Last column: nearest neighbours and their distance in Å.
Space group P4mm (No. 99)
Asymmetric unit:
Mg 0.0000 0.0000 0.0000  4 Tc 2.77, 4 Re 2.80, 4 Mg 3.08
Re 0.0000 0.0000 0.5019  4 Re 2.65, 4 Tc 2.66
Re 0.5000 0.5000 0.2698  4 Re 2.65, 4 Mg 2.80
Tc 0.5000 0.5000 0.7369  4 Re 2.66, 4 Mg 2.77

Results
As for the energy of formation from the pure elements: 23 kJ/mol of atoms. For the total energy, the calculation gives -8.9722 eV/atom. Its magnetic moment is 0.00 Bohr magnetons per cell.

Record 10
Below is a geometry-optimized MgRe2Tc structure, with properties calculated at the GGA-PBE level.

a = 6.2197 Å, b = 6.2197 Å, c = 6.2197 Å
α = 90.00°, β = 90.00°, γ = 90.00°
Last column: nearest neighbours and their distance in Å.
Space group F-43m (No. 216)
Asymmetric unit:
Mg 0.0000 0.0000 0.0000  4 Re 2.69, 4 Tc 2.69
Re 0.0000 0.0000 0.5000  4 Tc 2.69, 4 Re 2.69
Re 0.2500 0.2500 0.2500  4 Re 2.69, 4 Mg 2.69
Tc 0.2500 0.2500 0.7500  4 Re 2.69, 4 Mg 2.69

Results
As for the energy of formation from the pure elements: 18 kJ/mol of atoms. For the total energy, the calculation gives -9.0315 eV/atom. Its magnetic moment is 0.00 Bohr magnetons per cell.

Record 11
Below is a geometry-optimized MgRe2Tc structure, with properties calculated at the GGA-PBE level.

a = 5.2108 Å, b = 8.6661 Å, c = 2.7142 Å
α = 90.00°, β = 90.00°, γ = 90.00°
Last column: nearest neighbours and their distance in Å.
Space group Cmmm (No. 65)
Asymmetric unit:
Mg 0.0000 0.0000 0.0000  2 Tc 2.61, 2 Mg 2.71, 8 Re 2.87
Re 0.2500 0.2500 0.5000  4 Re 2.61-2.71, 4 Tc 2.87, 4 Mg 2.87
Tc 0.0000 0.5000 0.0000  2 Mg 2.61, 2 Tc 2.71, 8 Re 2.87

Results
As for the energy of formation from the pure elements: 34 kJ/mol of atoms. For the total energy, the calculation gives -8.8585 eV/atom. Its magnetic moment is 0.00 Bohr magnetons per cell.

Record 12
Below is a geometry-optimized MgRe3Tc structure, with properties calculated at the GGA-PBE level.

a = 4.3996 Å, b = 4.3996 Å, c = 4.3996 Å
α = 90.00°, β = 90.00°, γ = 90.00°
Last column: nearest neighbours and their distance in Å.
Space group Pm-3m (No. 221)
Asymmetric unit:
Mg 0.0000 0.0000 0.0000  6 Re 2.20
Re 0.0000 0.0000 0.5000  2 Mg 2.20
Tc 0.5000 0.5000 0.5000  12 Re 3.11

Results
As for the energy of formation from the pure elements: 237 kJ/mol of atoms. For the total energy, the calculation gives -7.4011 eV/atom. Its magnetic moment is 0.00 Bohr magnetons per cell.

Record 13
Below is a geometry-optimized MgRe2Tc structure, with properties calculated at the GGA-PBE level.

a = 2.6986 Å, b = 4.3875 Å, c = 5.2162 Å
α = 90.00°, β = 100.59°, γ = 90.00°
Last column: nearest neighbours and their distance in Å.
Space group Pm (No. 6)
Asymmetric unit:
Mg 0.0000 0.0000 0.0000  2 Tc 2.69, 2 Mg 2.70, 4 Re 2.71-2.74
Re 0.4995 0.0000 0.5003  4 Re 2.66-2.70, 2 Mg 2.71, 2 Tc 2.71
Re 0.7143 0.5000 0.2537  2 Tc 2.60-2.82, 4 Re 2.66-2.70, 2 Mg 2.74
Tc 0.2829 0.5000 0.7649  4 Re 2.60-2.82, 2 Mg 2.69, 2 Tc 2.70

Results
As for the energy of formation from the pure elements: 19 kJ/mol of atoms. For the total energy, the calculation gives -9.0138 eV/atom. Its magnetic moment is 0.00 Bohr magnetons per cell.

Record 14
Below is a geometry-optimized MgReTc structure, with properties calculated at the GGA-PBE level.

a = 4.4239 Å, b = 4.4239 Å, c = 2.7068 Å
α = 90.00°, β = 90.00°, γ = 120.00°
Last column: nearest neighbours and their distance in Å.
Space group P3m1 (No. 156)
Asymmetric unit:
Mg 0.0000 0.0000 0.0000  2 Mg 2.71, 3 Tc 2.74, 3 Re 2.76
Re 0.6667 0.3333 0.3864  3 Tc 2.64, 2 Re 2.71, 3 Mg 2.76
Tc 0.3333 0.6667 0.6326  3 Re 2.64, 2 Tc 2.71, 3 Mg 2.74

Results
As for the energy of formation from the pure elements: 14 kJ/mol of atoms. For the total energy, the calculation gives -7.9950 eV/atom. Its magnetic moment is 0.00 Bohr magnetons per cell. The calculation puts the energy above the most stable polymorph in this dataset at 0.097 eV per atom.

Record 15
Below is a geometry-optimized MgReTc3 structure, with properties calculated at the GGA-PBE level.

a = 4.7158 Å, b = 4.7158 Å, c = 4.7158 Å
α = 90.00°, β = 90.00°, γ = 90.00°
Last column: nearest neighbours and their distance in Å.
Space group Pm-3m (No. 221)
Asymmetric unit:
Mg 0.0000 0.0000 0.0000  12 Tc 3.33
Re 0.5000 0.5000 0.5000  6 Tc 2.36
Tc 0.0000 0.5000 0.5000  2 Re 2.36

Results
As for the energy of formation from the pure elements: 136 kJ/mol of atoms. For the total energy, the calculation gives -7.6201 eV/atom. Its magnetic moment is 1.85 Bohr magnetons per cell. The calculation puts the energy above the most stable polymorph in this dataset at 0.000 eV per atom.